[1]
RbBa2Ta | PBE-GGA | optimized geometry

Computed properties:
space group	Fm-3m
total moment	19.063	μB per cell
calculated formation energy	1.12	eV per atom
energy relative to the lowest polymorph listed for this composition	0.0	meV per atom

a = 8.9240 Å, b = 8.9240 Å, c = 8.9240 Å
α = 90.00°, β = 90.00°, γ = 90.00°
Last column: nearest neighbours and their distance in Å.
Element x y z (fractional)
Rb: 0.0000 0.0000 0.0000  8 Ba 3.86
Rb: 0.0000 0.5000 0.5000  8 Ba 3.86
Rb: 0.5000 0.0000 0.5000  8 Ba 3.86
Rb: 0.5000 0.5000 0.0000  8 Ba 3.86
Ba: 0.2500 0.2500 0.2500  4 Ta 3.86, 4 Rb 3.86
Ba: 0.2500 0.2500 0.7500  4 Ta 3.86, 4 Rb 3.86
Ba: 0.2500 0.7500 0.2500  4 Ta 3.86, 4 Rb 3.86
Ba: 0.2500 0.7500 0.7500  4 Ta 3.86, 4 Rb 3.86
Ba: 0.7500 0.2500 0.2500  4 Ta 3.86, 4 Rb 3.86
Ba: 0.7500 0.2500 0.7500  4 Ta 3.86, 4 Rb 3.86
Ba: 0.7500 0.7500 0.2500  4 Ta 3.86, 4 Rb 3.86
Ba: 0.7500 0.7500 0.7500  4 Rb 3.86, 4 Ta 3.86
Ta: 0.0000 0.0000 0.5000  8 Ba 3.86
Ta: 0.0000 0.5000 0.0000  8 Ba 3.86
Ta: 0.5000 0.0000 0.0000  8 Ba 3.86
Ta: 0.5000 0.5000 0.5000  8 Ba 3.86

---

[2]
RbBaTa | PBE-GGA | optimized geometry

Computed properties:
space group	P4/nmm
total moment	9.389	μB per cell
calculated formation energy	1.63	eV per atom
energy relative to the lowest polymorph listed for this composition	1120.6	meV per atom

a = 5.6020 Å, b = 5.6020 Å, c = 9.7760 Å
α = 90.00°, β = 90.00°, γ = 90.00°
Last column: nearest neighbours and their distance in Å.
Element x y z (fractional)
Rb: 0.2500 0.2500 0.1326  5 Ta 4.03-4.21
Rb: 0.7500 0.7500 0.8674  5 Ta 4.03-4.21
Ba: 0.2500 0.7500 0.5000  4 Ta 3.53
Ba: 0.7500 0.2500 0.5000  4 Ta 3.53
Ta: 0.2500 0.2500 0.7204  4 Ba 3.53
Ta: 0.7500 0.7500 0.2796  4 Ba 3.53

---

[3]
RbBaTa | PBE-GGA | optimized geometry

Computed properties:
space group	P-6m2
total moment	0.000	μB per cell
calculated formation energy	1.22	eV per atom
energy relative to the lowest polymorph listed for this composition	714.0	meV per atom

a = 6.1626 Å, b = 6.1626 Å, c = 9.4480 Å
α = 90.00°, β = 90.00°, γ = 120.00°
Last column: nearest neighbours and their distance in Å.
Element x y z (fractional)
Rb: 0.0000 0.0000 0.0000  6 Ta 3.73, 6 Ba 4.08
Rb: 0.0000 0.0000 0.5000  6 Ba 4.49, 2 Rb 4.72
Ba: 0.6667 0.3333 0.2105  3 Ta 3.66, 1 Ba 3.98, 3 Rb 4.08
Ba: 0.6667 0.3333 0.7895  3 Ta 3.66, 1 Ba 3.98, 3 Rb 4.08
Ta: 0.3333 0.6667 0.1198  1 Ta 2.26
Ta: 0.3333 0.6667 0.8802  1 Ta 2.26

---

[4]
RbBaTa | PBE-GGA | optimized geometry

Computed properties:
space group	P6_3/mmc
total moment	5.131	μB per cell
calculated formation energy	2.44	eV per atom
energy relative to the lowest polymorph listed for this composition	1937.7	meV per atom

a = 6.7972 Å, b = 6.7972 Å, c = 11.2565 Å
α = 90.00°, β = 90.00°, γ = 120.00°
Last column: nearest neighbours and their distance in Å.
Element x y z (fractional)
Rb: 0.3333 0.6667 0.2500  3 Ba 3.92
Rb: 0.6667 0.3333 0.7500  3 Ba 3.92
Ba: 0.0000 0.0000 0.2500  2 Ta 2.81
Ba: 0.0000 0.0000 0.7500  2 Ta 2.81
Ta: 0.0000 0.0000 0.0000  2 Ba 2.81
Ta: 0.0000 0.0000 0.5000  2 Ba 2.81

---

[5]
RbBaTa | PBE-GGA | optimized geometry

Computed properties:
space group	Pnma
total moment	4.704	μB per cell
calculated formation energy	1.44	eV per atom
energy relative to the lowest polymorph listed for this composition	930.6	meV per atom

a = 14.7299 Å, b = 6.1753 Å, c = 5.8543 Å
α = 90.00°, β = 90.00°, γ = 90.00°
Last column: nearest neighbours and their distance in Å.
Element x y z (fractional)
Rb: 0.2334 0.2500 0.0012  1 Ta 3.62
Rb: 0.2666 0.7500 0.5012  1 Ta 3.62
Rb: 0.7334 0.2500 0.4988  1 Ta 3.62
Rb: 0.7666 0.7500 0.9988  1 Ta 3.62
Ba: 0.0000 0.0000 0.5000  2 Ba 3.09, 4 Ta 3.31
Ba: 0.0000 0.5000 0.5000  2 Ba 3.09, 4 Ta 3.31
Ba: 0.5000 0.0000 0.0000  2 Ba 3.09, 4 Ta 3.31
Ba: 0.5000 0.5000 0.0000  2 Ba 3.09, 4 Ta 3.31
Ta: 0.0125 0.7500 0.0000  2 Ta 3.11, 4 Ba 3.31
Ta: 0.4875 0.2500 0.5000  2 Ta 3.11, 4 Ba 3.31
Ta: 0.5125 0.7500 0.5000  2 Ta 3.11, 4 Ba 3.31
Ta: 0.9875 0.2500 0.0000  2 Ta 3.11, 4 Ba 3.31

---

[6]
RbBaTa | PBE-GGA | optimized geometry

Computed properties:
space group	P1
total moment	0.000	μB per cell
calculated formation energy	0.60	eV per atom
energy relative to the lowest polymorph listed for this composition	97.8	meV per atom

a = 3.7171 Å, b = 4.8564 Å, c = 17.9252 Å
α = 85.87°, β = 84.20°, γ = 67.86°
Last column: nearest neighbours and their distance in Å.
Element x y z (fractional)
Rb: 0.0000 0.0000 0.0000  2 Rb 3.72
Rb: 0.0970 0.4434 0.2363  2 Rb 3.72
Ba: 0.5020 0.9073 0.4681  5 Ta 3.47-3.66, 2 Ba 3.72
Ba: 0.5432 0.5281 0.7681  5 Ta 3.47-3.66, 2 Ba 3.72
Ta: 0.1680 0.4399 0.6038  3 Ta 2.57-2.77
Ta: 0.8772 0.9956 0.6325  3 Ta 2.57-2.77

---

What did the first record say?
RbBa2Ta | PBE-GGA | optimized geometry

Computed properties:
space group	Fm-3m
total moment	19.063	μB per cell
calculated formation energy	1.12	eV per atom
energy relative to the lowest polymorph listed for this composition	0.0	meV per atom

a = 8.9240 Å, b = 8.9240 Å, c = 8.9240 Å
α = 90.00°, β = 90.00°, γ = 90.00°
Last column: nearest neighbours and their distance in Å.
Element x y z (fractional)
Rb: 0.0000 0.0000 0.0000  8 Ba 3.86
Rb: 0.0000 0.5000 0.5000  8 Ba 3.86
Rb: 0.5000 0.0000 0.5000  8 Ba 3.86
Rb: 0.5000 0.5000 0.0000  8 Ba 3.86
Ba: 0.2500 0.2500 0.2500  4 Ta 3.86, 4 Rb 3.86
Ba: 0.2500 0.2500 0.7500  4 Ta 3.86, 4 Rb 3.86
Ba: 0.2500 0.7500 0.2500  4 Ta 3.86, 4 Rb 3.86
Ba: 0.2500 0.7500 0.7500  4 Ta 3.86, 4 Rb 3.86
Ba: 0.7500 0.2500 0.2500  4 Ta 3.86, 4 Rb 3.86
Ba: 0.7500 0.2500 0.7500  4 Ta 3.86, 4 Rb 3.86
Ba: 0.7500 0.7500 0.2500  4 Ta 3.86, 4 Rb 3.86
Ba: 0.7500 0.7500 0.7500  4 Rb 3.86, 4 Ta 3.86
Ta: 0.0000 0.0000 0.5000  8 Ba 3.86
Ta: 0.0000 0.5000 0.0000  8 Ba 3.86
Ta: 0.5000 0.0000 0.0000  8 Ba 3.86
Ta: 0.5000 0.5000 0.5000  8 Ba 3.86